Entry 1:
# Sm6Dy5Mg2 (GGA-PBE, relaxed)
data_Sm6Dy5Mg2
_space_group_name_H-M_alt 'P 1'
_space_group_IT_number 1
_cell_length_a 10.4559
_cell_length_b 22.7404
_cell_length_c 3.5397
_cell_angle_alpha 90.00
_cell_angle_beta 90.00
_cell_angle_gamma 90.00
loop_
_space_group_symop_operation_xyz
'x,y,z'
loop_
_atom_site_label
_atom_site_type_symbol
_atom_site_fract_x
_atom_site_fract_y
_atom_site_fract_z
Sm1 Sm 0.0183 0.1130 0.0000
Sm2 Sm 0.1449 0.3823 0.0000
Sm3 Sm 0.1690 0.6336 0.5000
Sm4 Sm 0.3310 0.1336 0.5000
Sm5 Sm 0.3551 0.8823 0.0000
Sm6 Sm 0.4817 0.6130 0.0000
Sm7 Sm 0.5183 0.3870 0.0000
Sm8 Sm 0.6449 0.1177 0.0000
Sm9 Sm 0.6690 0.8664 0.5000
Sm10 Sm 0.8310 0.3664 0.5000
Sm11 Sm 0.8551 0.6177 0.0000
Sm12 Sm 0.9817 0.8870 0.0000
Dy1 Dy 0.0000 0.5000 0.5000
Dy2 Dy 0.0808 0.2492 0.5000
Dy3 Dy 0.1658 0.9942 0.5000
Dy4 Dy 0.3342 0.4942 0.5000
Dy5 Dy 0.4192 0.7492 0.5000
Dy6 Dy 0.5000 0.0000 0.5000
Dy7 Dy 0.5808 0.2508 0.5000
Dy8 Dy 0.6658 0.5058 0.5000
Dy9 Dy 0.8342 0.0058 0.5000
Dy10 Dy 0.9192 0.7508 0.5000
Mg1 Mg 0.1690 0.7612 0.0000
Mg2 Mg 0.3310 0.2612 0.0000
Mg3 Mg 0.6690 0.7388 0.0000
Mg4 Mg 0.8310 0.2388 0.0000
# Crystal system = orthorhombic
# Mass density = 6.96 g cm⁻³
# Energy of formation from the pure elements = 0.13 eV/atom
# Electronic total energy = -105.58 eV/cell

Entry 2:
# Al2SbRu (GGA-PBE, relaxed)
data_Al2SbRu
_space_group_name_H-M_alt 'P 1'
_space_group_IT_number 1
_cell_length_a 4.2254
_cell_length_b 5.2089
_cell_length_c 5.2089
_cell_angle_alpha 38.24
_cell_angle_beta 90.00
_cell_angle_gamma 90.00
loop_
_space_group_symop_operation_xyz
'x,y,z'
loop_
_atom_site_label
_atom_site_type_symbol
_atom_site_fract_x
_atom_site_fract_y
_atom_site_fract_z
Al1 Al 0.0000 0.0000 0.0000
Al2 Al 0.5000 0.4252 0.4252
Sb1 Sb 0.0000 0.7321 0.7321
Ru1 Ru 0.5000 0.1384 0.1384
# Crystal system = orthorhombic
# Energy relative to the elements, uncorrected = -0.128 eV per atom
# Mass density = 6.48 g cm⁻³
# Electronic total energy = -21.40 eV/cell

Entry 3:
# AlIn2Ge (GGA-PBE, relaxed)
data_AlIn2Ge
_space_group_name_H-M_alt 'P 1'
_space_group_IT_number 1
_cell_length_a 11.1278
_cell_length_b 11.1278
_cell_length_c 11.1278
_cell_angle_alpha 16.18
_cell_angle_beta 16.18
_cell_angle_gamma 16.18
loop_
_space_group_symop_operation_xyz
'x,y,z'
loop_
_atom_site_label
_atom_site_type_symbol
_atom_site_fract_x
_atom_site_fract_y
_atom_site_fract_z
Al1 Al 0.0000 0.0000 0.0000
In1 In 0.0879 0.0879 0.0879
In2 In 0.9121 0.9121 0.9121
Ge1 Ge 0.5000 0.5000 0.5000
# Crystal system = trigonal
# Mass density = 5.86 g cm⁻³
# Energy of formation from the pure elements = 0.23 eV/atom
# Electronic total energy = -12.91 eV/cell

Entry 4:
# TcSbH3 (GGA-PBE, relaxed)
data_TcSbH3
_space_group_name_H-M_alt 'P 1'
_space_group_IT_number 1
_cell_length_a 3.6650
_cell_length_b 3.6650
_cell_length_c 3.6650
_cell_angle_alpha 90.00
_cell_angle_beta 90.00
_cell_angle_gamma 90.00
loop_
_space_group_symop_operation_xyz
'x,y,z'
loop_
_atom_site_label
_atom_site_type_symbol
_atom_site_fract_x
_atom_site_fract_y
_atom_site_fract_z
Tc1 Tc 0.0000 0.0000 0.0000
Sb1 Sb 0.5000 0.5000 0.5000
H1 H 0.0000 0.0000 0.5000
H2 H 0.0000 0.5000 0.0000
H3 H 0.5000 0.0000 0.0000
# Crystal system = cubic
# Energy above the most stable polymorph in this dataset = 0.286 eV per atom
# Mass density = 7.51 g cm⁻³
# Electronic total energy = -22.59 eV/cell

Entry 5:
# DyLuAlGa (GGA-PBE, relaxed)
data_DyLuAlGa
_space_group_name_H-M_alt 'P 1'
_space_group_IT_number 1
_cell_length_a 5.0301
_cell_length_b 5.0301
_cell_length_c 5.0301
_cell_angle_alpha 60.00
_cell_angle_beta 60.00
_cell_angle_gamma 60.00
loop_
_space_group_symop_operation_xyz
'x,y,z'
loop_
_atom_site_label
_atom_site_type_symbol
_atom_site_fract_x
_atom_site_fract_y
_atom_site_fract_z
Dy1 Dy 0.0000 0.0000 0.0000
Lu1 Lu 0.5000 0.5000 0.5000
Al1 Al 0.2500 0.2500 0.2500
Ga1 Ga 0.7500 0.7500 0.7500
# Crystal system = cubic
# Mass density = 8.01 g cm⁻³
# Energy of formation from the pure elements = -0.47 eV/atom
# Electronic total energy = -17.76 eV/cell

Entry 6:
# CsErFeBr6 (GGA-PBE, relaxed)
data_CsErFeBr6
_space_group_name_H-M_alt 'P 1'
_space_group_IT_number 1
_cell_length_a 7.0805
_cell_length_b 7.0805
_cell_length_c 8.1962
_cell_angle_alpha 90.06
_cell_angle_beta 90.06
_cell_angle_gamma 120.00
loop_
_space_group_symop_operation_xyz
'x,y,z'
loop_
_atom_site_label
_atom_site_type_symbol
_atom_site_fract_x
_atom_site_fract_y
_atom_site_fract_z
Cs1 Cs 0.0000 0.0000 0.0000
Er1 Er 0.6664 0.3336 0.5000
Fe1 Fe 0.3331 0.6669 0.5000
Br1 Br 0.0145 0.3813 0.6903
Br2 Br 0.0138 0.6320 0.3089
Br3 Br 0.3680 0.9862 0.6911
Br4 Br 0.3702 0.3840 0.3074
Br5 Br 0.6160 0.6298 0.6926
Br6 Br 0.6187 0.9855 0.3097
# Crystal system = monoclinic
# Energy relative to the elements, uncorrected = -1.370 eV per atom
# Mass density = 3.90 g cm⁻³
# Electronic total energy = -36.24 eV/cell

Entry 7:
# NdGaSb (GGA-PBE, relaxed)
data_NdGaSb
_space_group_name_H-M_alt 'P 1'
_space_group_IT_number 1
_cell_length_a 5.9844
_cell_length_b 5.9844
_cell_length_c 5.9844
_cell_angle_alpha 143.10
_cell_angle_beta 143.10
_cell_angle_gamma 53.17
loop_
_space_group_symop_operation_xyz
'x,y,z'
loop_
_atom_site_label
_atom_site_type_symbol
_atom_site_fract_x
_atom_site_fract_y
_atom_site_fract_z
Nd1 Nd 0.0000 0.0000 0.0000
Ga1 Ga 0.6886 0.6886 0.0000
Sb1 Sb 0.3074 0.3074 0.0000
# Crystal system = tetragonal
# Energy relative to the elements, uncorrected = -0.502 eV per atom
# Energy above the most stable polymorph in this dataset = 0.070 eV per atom
# Mass density = 7.26 g cm⁻³
# Electronic total energy = -13.42 eV/cell

Entry 8:
# Sr2LaTbSe4 (GGA-PBE, relaxed)
data_Sr2LaTbSe4
_space_group_name_H-M_alt 'P 1'
_space_group_IT_number 1
_cell_length_a 7.4210
_cell_length_b 4.2820
_cell_length_c 7.5571
_cell_angle_alpha 90.00
_cell_angle_beta 109.06
_cell_angle_gamma 90.00
loop_
_space_group_symop_operation_xyz
'x,y,z'
loop_
_atom_site_label
_atom_site_type_symbol
_atom_site_fract_x
_atom_site_fract_y
_atom_site_fract_z
Sr1 Sr 0.0000 0.0000 0.0000
Sr2 Sr 0.5000 0.5000 0.0000
La1 La 0.0000 0.5000 0.5000
Tb1 Tb 0.5000 0.0000 0.5000
Se1 Se 0.2555 0.0000 0.7410
Se2 Se 0.2627 0.5000 0.2646
Se3 Se 0.7373 0.5000 0.7354
Se4 Se 0.7445 0.0000 0.2590
# Crystal system = monoclinic
# Energy relative to the elements, uncorrected = -1.933 eV per atom
# Mass density = 5.77 g cm⁻³
# Electronic total energy = -42.33 eV/cell

Entry 9:
# FeNiMo2 (GGA-PBE, relaxed)
data_FeNiMo2
_space_group_name_H-M_alt 'P 1'
_space_group_IT_number 1
_cell_length_a 4.5933
_cell_length_b 4.5933
_cell_length_c 4.7064
_cell_angle_alpha 98.20
_cell_angle_beta 98.20
_cell_angle_gamma 33.34
loop_
_space_group_symop_operation_xyz
'x,y,z'
loop_
_atom_site_label
_atom_site_type_symbol
_atom_site_fract_x
_atom_site_fract_y
_atom_site_fract_z
Fe1 Fe 0.0000 0.0000 0.0000
Ni1 Ni 0.7366 0.7366 0.2512
Mo1 Mo 0.2473 0.2473 0.7706
Mo2 Mo 0.4829 0.4829 0.4721
# Crystal system = monoclinic
# Energy above the most stable polymorph in this dataset = 0.072 eV per atom
# Mass density = 9.43 g cm⁻³
# Energy of formation from the pure elements = 0.12 eV/atom
# Electronic total energy = -35.41 eV/cell

Entry 10:
# TcRu2Rh8 (GGA-PBE, relaxed)
data_TcRu2Rh8
_space_group_name_H-M_alt 'P 1'
_space_group_IT_number 1
_cell_length_a 6.6164
_cell_length_b 6.6164
_cell_length_c 4.4586
_cell_angle_alpha 102.04
_cell_angle_beta 102.04
_cell_angle_gamma 73.09
loop_
_space_group_symop_operation_xyz
'x,y,z'
loop_
_atom_site_label
_atom_site_type_symbol
_atom_site_fract_x
_atom_site_fract_y
_atom_site_fract_z
Tc1 Tc 0.0000 0.0000 0.0000
Ru1 Ru 0.1396 0.1396 0.5479
Ru2 Ru 0.8604 0.8604 0.4521
Rh1 Rh 0.1903 0.6478 0.2123
Rh2 Rh 0.2459 0.2459 0.1228
Rh3 Rh 0.3522 0.8097 0.7877
Rh4 Rh 0.4011 0.4011 0.7241
Rh5 Rh 0.5989 0.5989 0.2759
Rh6 Rh 0.6478 0.1903 0.2123
Rh7 Rh 0.7541 0.7541 0.8772
Rh8 Rh 0.8097 0.3522 0.7877
# Crystal system = monoclinic
# Energy above the most stable polymorph in this dataset = 0.572 eV per atom
# Mass density = 10.34 g cm⁻³
# Energy of formation from the pure elements = 0.56 eV/atom
# Electronic total energy = -81.62 eV/cell

Entry 11:
# RbRuPt3 (GGA-PBE, relaxed)
data_RbRuPt3
_space_group_name_H-M_alt 'P 1'
_space_group_IT_number 1
_cell_length_a 4.9774
_cell_length_b 4.9774
_cell_length_c 4.9774
_cell_angle_alpha 90.00
_cell_angle_beta 90.00
_cell_angle_gamma 90.00
loop_
_space_group_symop_operation_xyz
'x,y,z'
loop_
_atom_site_label
_atom_site_type_symbol
_atom_site_fract_x
_atom_site_fract_y
_atom_site_fract_z
Rb1 Rb 0.0000 0.0000 0.0000
Ru1 Ru 0.5000 0.5000 0.5000
Pt1 Pt 0.0000 0.0000 0.5000
Pt2 Pt 0.0000 0.5000 0.0000
Pt3 Pt 0.5000 0.0000 0.0000
# Crystal system = cubic
# Energy above the most stable polymorph in this dataset = 1.896 eV per atom
# Mass density = 10.39 g cm⁻³
# Energy of formation from the pure elements = 2.72 eV/atom
# Electronic total energy = -14.75 eV/cell

Entry 12:
# NpGe4Rh2 (GGA-PBE, relaxed)
data_NpGe4Rh2
_space_group_name_H-M_alt 'P 1'
_space_group_IT_number 1
_cell_length_a 17.4017
_cell_length_b 4.2377
_cell_length_c 6.6440
_cell_angle_alpha 90.00
_cell_angle_beta 90.00
_cell_angle_gamma 90.00
loop_
_space_group_symop_operation_xyz
'x,y,z'
loop_
_atom_site_label
_atom_site_type_symbol
_atom_site_fract_x
_atom_site_fract_y
_atom_site_fract_z
Np1 Np 0.1412 0.2500 0.0004
Np2 Np 0.3588 0.7500 0.5004
Np3 Np 0.6412 0.2500 0.4996
Np4 Np 0.8588 0.7500 0.9996
Ge1 Ge 0.0343 0.7500 0.1360
Ge2 Ge 0.0664 0.2500 0.5313
Ge3 Ge 0.1831 0.7500 0.7047
Ge4 Ge 0.1933 0.7500 0.2817
Ge5 Ge 0.3067 0.2500 0.7817
Ge6 Ge 0.3169 0.2500 0.2047
Ge7 Ge 0.4336 0.7500 0.0313
Ge8 Ge 0.4657 0.2500 0.6360
Ge9 Ge 0.5343 0.7500 0.3640
Ge10 Ge 0.5664 0.2500 0.9687
Ge11 Ge 0.6831 0.7500 0.7953
Ge12 Ge 0.6933 0.7500 0.2183
Ge13 Ge 0.8067 0.2500 0.7183
Ge14 Ge 0.8169 0.2500 0.2953
Ge15 Ge 0.9336 0.7500 0.4687
Ge16 Ge 0.9657 0.2500 0.8640
Rh1 Rh 0.0309 0.7500 0.7472
Rh2 Rh 0.2091 0.2500 0.4898
Rh3 Rh 0.2909 0.7500 0.9898
Rh4 Rh 0.4691 0.2500 0.2472
Rh5 Rh 0.5309 0.7500 0.7528
Rh6 Rh 0.7091 0.2500 0.0102
Rh7 Rh 0.7909 0.7500 0.5102
Rh8 Rh 0.9691 0.2500 0.2528
# Crystal system = orthorhombic
# Mass density = 9.94 g cm⁻³
# Energy of formation from the pure elements = -0.43 eV/atom
# Electronic total energy = -196.43 eV/cell